Model i:
A relaxed structure of PmEr2Zn2, computed with PBE-GGA.

a = 3.604 Å, b = 5.194 Å, c = 13.330 Å
α = 90.00°, β = 97.77°, γ = 90.00°
Space group P2_1/m (No. 11)
Symmetry-distinct sites (fractional):
Pm  0.145  0.250  0.287 (multiplicity 2)
Er  0.046  0.750  0.093 (multiplicity 2)
Er  0.233  0.750  0.466 (multiplicity 2)
Zn  0.360  0.250  0.719 (multiplicity 2)
Zn  0.454  0.750  0.907 (multiplicity 2)

Crystal system = monoclinic

=====

Model ii:
A relaxed structure of PmEr2Zn2, computed with PBE-GGA.

a = 5.224 Å, b = 15.298 Å, c = 6.203 Å
α = 90.00°, β = 90.00°, γ = 90.00°
Space group Cmc2_1 (No. 36)
Symmetry-distinct sites (fractional):
Pm  0.000  0.084  0.000 (multiplicity 4)
Er  0.000  0.299  0.760 (multiplicity 4)
Er  0.000  0.458  0.148 (multiplicity 4)
Zn  0.000  0.127  0.494 (multiplicity 4)
Zn  0.000  0.280  0.266 (multiplicity 4)

Crystal system = orthorhombic

=====

Name the least stable of them. model ii.

=====

Model i:
A relaxed structure of PmErZn, computed with PBE-GGA.

a = 5.085 Å, b = 12.141 Å, c = 5.138 Å
α = 90.00°, β = 90.00°, γ = 90.00°
Space group Cmcm (No. 63)
Symmetry-distinct sites (fractional):
Pm  0.000  0.100  0.250 (multiplicity 4)
Er  0.000  0.390  0.250 (multiplicity 4)
Zn  0.000  0.247  0.750 (multiplicity 4)

Crystal system = orthorhombic

=====

Model ii:
A relaxed structure of PmErZn, computed with PBE-GGA.

a = 4.9907 Å, b = 4.9907 Å, c = 3.7502 Å
α = 90.00°, β = 90.00°, γ = 120.00°
Space group P3m1 (No. 156)
Symmetry-distinct sites (fractional):
Pm  0.0000  0.0000  0.0000 (multiplicity 1)
Er  0.3333  0.6667  0.5350 (multiplicity 1)
Zn  0.6667  0.3333  0.3588 (multiplicity 1)

Crystal system = trigonal

=====

Name the least stable of them. model ii.

=====

Model i:
A relaxed structure of PmErZn, computed with PBE-GGA.

a = 3.605 Å, b = 3.605 Å, c = 12.268 Å
α = 90.00°, β = 90.00°, γ = 90.00°
Space group I4mm (No. 107)
Symmetry-distinct sites (fractional):
Pm  0.000  0.000  0.000 (multiplicity 2)
Er  0.000  0.000  0.288 (multiplicity 2)
Zn  0.000  0.000  0.655 (multiplicity 2)

Crystal system = tetragonal

=====

Model ii:
A relaxed structure of PmErZn, computed with PBE-GGA.

a = 7.048 Å, b = 7.048 Å, c = 7.048 Å
α = 90.00°, β = 90.00°, γ = 90.00°
Space group F-43m (No. 216)
Symmetry-distinct sites (fractional):
Pm  0.000  0.000  0.000 (multiplicity 4)
Er  0.000  0.000  0.500 (multiplicity 4)
Zn  0.250  0.250  0.750 (multiplicity 4)

Crystal system = cubic

=====

Name the least stable of them. model ii.